YIrN2: single point on PBEsol structure, SCAN.

Output
SG	Fm-3m
crystal system	cubic
raw formation energy	2.5	kcal/mol of atoms
uncorrected energy	-29.27	eV per atom

The structure in extended XYZ format:
```
4
Lattice="0.0000 2.8325 2.8325 2.8325 0.0000 2.8325 2.8325 2.8325 0.0000" Properties=species:S:1:pos:R:3 pbc="T T T"
Y 0.0000 0.0000 0.0000
Ir 2.8325 2.8325 2.8325
N 1.4162 1.4162 1.4162
N 4.2487 4.2487 4.2487
```

***

AgHgMo2: single point on PBEsol structure, SCAN.

Output
SG	P4/mmm
crystal system	tetragonal
uncorrected energy	-41.81	eV per atom
energy relative to the elements	0.52	eV/atom

The structure in extended XYZ format:
```
4
Lattice="3.8163 0.0000 0.0000 0.0000 3.8163 0.0000 0.0000 0.0000 4.4978" Properties=species:S:1:pos:R:3 pbc="T T T"
Ag 0.0000 0.0000 0.0000
Hg 1.9081 1.9081 0.0000
Mo 0.0000 1.9081 2.2489
Mo 1.9081 0.0000 2.2489
```

***

ZrMo2Cl: single point on PBEsol structure, SCAN.

Output
SG	Pmmm
crystal system	orthorhombic
raw formation energy	7.9	kcal/mol of atoms
uncorrected energy	-26.77	eV per atom
energy above the lowest structure with this stoichiometry	500	meV/atom

The structure in extended XYZ format:
```
4
Lattice="3.0509 0.0000 0.0000 0.0000 4.4640 0.0000 0.0000 0.0000 5.1686" Properties=species:S:1:pos:R:3 pbc="T T T"
Zr 0.0000 0.0000 0.0000
Mo 1.5255 2.2320 1.1221
Mo 1.5255 2.2320 4.0465
Cl 0.0000 0.0000 2.5843
```

***

Li2Zn2Hg: single point on PBEsol structure, SCAN.

Output
SG	P4/mbm
crystal system	tetragonal
uncorrected energy	-20.21	eV per atom
energy relative to the elements	-0.21	eV/atom

The structure in extended XYZ format:
```
10
Lattice="7.0924 0.0000 0.0000 0.0000 7.0924 0.0000 0.0000 0.0000 3.0961" Properties=species:S:1:pos:R:3 pbc="T T T"
Li 1.2036 2.3426 0.0000
Li 2.3426 5.8888 0.0000
Li 4.7499 1.2036 0.0000
Li 5.8888 4.7499 0.0000
Zn 0.8910 4.4373 1.5480
Zn 2.6552 0.8910 1.5480
Zn 4.4373 6.2014 1.5480
Zn 6.2014 2.6552 1.5480
Hg 0.0000 0.0000 1.5480
Hg 3.5462 3.5462 1.5480
```

***

BaBe2Cu: single point on PBEsol structure, SCAN.

Output
SG	I4_1/amd
crystal system	tetragonal
uncorrected energy	-15.54	eV per atom
energy above the lowest structure with this stoichiometry	244	meV/atom
energy relative to the elements	0.33	eV/atom

The structure in extended XYZ format:
```
8
Lattice="-2.4821 2.4821 6.8533 2.4821 -2.4821 6.8533 2.4821 2.4821 -6.8533" Properties=species:S:1:pos:R:3 pbc="T T T"
Ba 2.4821 1.2411 1.7133
Ba 0.0000 1.2411 5.1400
Be 0.0000 0.0000 0.0000
Be 1.2411 1.2411 -3.4267
Be 1.2411 -1.2411 3.4267
Be 0.0000 2.4821 0.0000
Cu 2.4821 -1.2411 5.1400
Cu 0.0000 3.7232 1.7133
```

***

Al2ZnNiN: single point on PBEsol structure, SCAN.

Output
SG	P4/mmm
crystal system	tetragonal
raw formation energy	-2.8	kcal/mol of atoms
uncorrected energy	-11.02	eV per atom

The structure in extended XYZ format:
```
5
Lattice="3.7874 0.0000 0.0000 0.0000 3.7874 0.0000 0.0000 0.0000 4.1769" Properties=species:S:1:pos:R:3 pbc="T T T"
Al 0.0000 1.8937 0.0000
Al 1.8937 0.0000 0.0000
Zn 0.0000 0.0000 2.0885
Ni 1.8937 1.8937 2.0885
N 0.0000 0.0000 0.0000
```

***

PbCl2: single point on PBEsol structure, SCAN.

Output
SG	Pnma
crystal system	orthorhombic
raw formation energy	-28.7	kcal/mol of atoms
uncorrected energy	-31.82	eV per atom

The structure in extended XYZ format:
```
12
Lattice="7.4962 0.0000 0.0000 0.0000 4.4824 0.0000 0.0000 0.0000 9.0350" Properties=species:S:1:pos:R:3 pbc="T T T"
Pb 1.7791 1.1206 0.8570
Pb 1.9690 3.3618 5.3744
Pb 5.5272 1.1206 3.6605
Pb 5.7172 3.3618 8.1780
Cl 0.1284 1.1206 7.5840
Cl 1.0641 1.1206 3.8067
Cl 2.6841 3.3618 8.3242
Cl 3.6197 3.3618 3.0665
Cl 3.8765 1.1206 5.9684
Cl 4.8122 1.1206 0.7108
Cl 6.4322 3.3618 5.2283
Cl 7.3679 3.3618 1.4509
```

***

KLiO: single point on PBEsol structure, SCAN.

Output
SG	Cmce
crystal system	orthorhombic
raw formation energy	-37.0	kcal/mol of atoms
uncorrected energy	-7.25	eV per atom

The structure in extended XYZ format:
```
12
Lattice="4.2881 -3.1770 0.0000 4.2881 3.1770 0.0000 0.0000 0.0000 6.3925" Properties=species:S:1:pos:R:3 pbc="T T T"
K 1.5109 0.0000 0.0000
K 2.7773 0.0000 3.1963
K 5.7990 0.0000 3.1963
K 7.0654 0.0000 0.0000
Li 4.2881 2.3829 4.0028
Li 4.2881 0.7941 0.8065
Li 4.2881 -0.7941 5.5860
Li 4.2881 -2.3829 2.3897
O 4.2881 2.0955 2.1305
O 4.2881 1.0816 5.3268
O 4.2881 -1.0816 1.0657
O 4.2881 -2.0955 4.2620
```

***

Eu2Mo2WO12: single point on PBEsol structure, SCAN.

Output
SG	C2/c
crystal system	monoclinic
raw formation energy	-57.7	kcal/mol of atoms
uncorrected energy	-21.42	eV per atom

The structure in extended XYZ format:
```
34
Lattice="3.8057 -5.6776 0.0000 3.8057 5.6776 0.0000 -3.7840 0.0000 10.9096" Properties=species:S:1:pos:R:3 pbc="T T T"
Eu 0.9144 1.3973 0.9968
Eu -0.9776 -1.3973 6.4516
Eu 4.8049 1.3973 4.4579
Eu 2.9129 -1.3973 9.9127
Mo 1.0238 1.2444 4.8072
Mo -0.8682 -1.2444 10.2620
Mo 4.6955 1.2444 0.6476
Mo 2.8034 -1.2444 6.1024
W 2.8597 4.1991 2.7274
W 0.9676 -4.1991 8.1822
O 0.9192 2.1127 3.2753
O 2.4312 3.2886 1.2105
O -0.6512 0.4928 4.9494
O -1.4258 0.4533 7.8588
O -2.5432 -0.4928 10.4041
O 0.4662 -0.4533 2.4040
O 1.2893 2.4507 6.0223
O 3.2881 3.2886 4.2443
O 0.6460 2.4507 10.3420
O 3.0914 0.4024 0.9115
O -0.9728 -2.1127 8.7300
O 1.1994 -0.4024 6.3663
O 2.6279 0.4024 4.5433
O 4.8001 2.1127 2.1795
O 0.7359 -0.4024 9.9980
O 3.1813 -2.4507 0.5676
O 0.5392 -3.2886 6.6653
O 2.5380 -2.4507 4.8872
O 3.3610 0.4533 8.5056
O 6.3705 0.4928 0.5054
O 5.2531 -0.4533 3.0508
O 4.4785 -0.4928 5.9602
O 1.3961 -3.2886 9.6990
O 2.9081 -2.1127 7.6343
```

***

MgCd2Cu2: single point on PBEsol structure, SCAN.

Output
SG	P4/mbm
crystal system	tetragonal
uncorrected energy	-19.27	eV per atom
energy above the lowest structure with this stoichiometry	0	meV/atom
energy relative to the elements	-0.03	eV/atom

The structure in extended XYZ format:
```
10
Lattice="7.2155 0.0000 0.0000 0.0000 7.2155 0.0000 0.0000 0.0000 3.1759" Properties=species:S:1:pos:R:3 pbc="T T T"
Mg 0.0000 0.0000 0.0000
Mg 3.6078 3.6078 0.0000
Cd 1.2283 2.3795 1.5879
Cd 2.3795 5.9872 1.5879
Cd 4.8360 1.2283 1.5879
Cd 5.9872 4.8360 1.5879
Cu 0.9034 4.5112 0.0000
Cu 2.7043 0.9034 0.0000
Cu 4.5112 6.3121 0.0000
Cu 6.3121 2.7043 0.0000
```

***

BaPr2O4: single point on PBEsol structure, SCAN.

Output
SG	Pnma
crystal system	orthorhombic
raw formation energy	-78.1	kcal/mol of atoms
uncorrected energy	-24.98	eV per atom

The structure in extended XYZ format:
```
28
Lattice="10.5695 0.0000 0.0000 0.0000 3.6312 0.0000 0.0000 0.0000 12.5028" Properties=species:S:1:pos:R:3 pbc="T T T"
Ba 2.6305 0.9078 1.8451
Ba 2.6542 2.7234 8.0964
Ba 7.9153 0.9078 4.4063
Ba 7.9390 2.7234 10.6577
Pr 0.7744 2.7234 4.8301
Pr 0.8924 2.7234 11.1255
Pr 4.3923 0.9078 4.8742
Pr 4.5104 0.9078 11.0815
Pr 6.0591 2.7234 1.4213
Pr 6.1772 2.7234 7.6286
Pr 9.6771 0.9078 1.3772
Pr 9.7952 0.9078 7.6727
O 0.1202 0.9078 3.5245
O 0.7224 2.7234 0.9764
O 1.3337 0.9078 6.4546
O 2.2644 0.9078 10.3196
O 3.0204 2.7234 4.0682
O 3.9510 2.7234 0.2032
O 4.5624 0.9078 7.2278
O 5.1646 2.7234 9.7759
O 5.4050 0.9078 2.7269
O 6.0072 2.7234 5.2750
O 6.6185 0.9078 12.2996
O 7.5491 0.9078 8.4346
O 8.3052 2.7234 2.1832
O 9.2358 2.7234 6.0482
O 9.8472 0.9078 11.5263
O 10.4493 2.7234 8.9783
```

***

B2PtCl: single point on PBEsol structure, SCAN.

Output
SG	Fm-3m
crystal system	cubic
raw formation energy	43.7	kcal/mol of atoms
uncorrected energy	-21.36	eV per atom

The structure in extended XYZ format:
```
4
Lattice="0.0000 2.8626 2.8626 2.8626 0.0000 2.8626 2.8626 2.8626 0.0000" Properties=species:S:1:pos:R:3 pbc="T T T"
B 1.4313 1.4313 1.4313
B 4.2938 4.2938 4.2938
Pt 0.0000 0.0000 0.0000
Cl 2.8626 2.8626 2.8626
```